(1)
Below is a relaxed RbSn3Ir crystal, with properties calculated at the PBE level.

## Properties
Total magnetic moment in μB/cell: 0.000
N(E_F) in states/eV per cell: 9.8
Energy of formation from the pure elements in eV per atom: -0.170

Geometry as CIF:
```
data_RbSn3Ir
_cell_length_a 9.919
_cell_length_b 6.246
_cell_length_c 9.559
_cell_angle_alpha 90.00
_cell_angle_beta 99.37
_cell_angle_gamma 90.00
_space_group_name_H-M_alt 'P 1 21/c 1'
_space_group_IT_number 14
_space_group_name_Hall '-P 2ybc'
loop_
_atom_site_label
_atom_site_type_symbol
_atom_site_fract_x
_atom_site_fract_y
_atom_site_fract_z
Rb1 Rb 0.082 0.006 0.192
Sn1 Sn 0.223 0.008 0.580
Sn2 Sn 0.308 0.625 0.408
Sn3 Sn 0.456 0.081 0.325
Ir1 Ir 0.418 0.203 0.056
```

(2)
Below is a relaxed BaAs2Ru crystal, with properties calculated at the PBE level.

## Properties
Total magnetic moment in μB/cell: 1.806
N(E_F) in states/eV per cell: 4.1
Energy of formation from the pure elements in eV per atom: 0.398

Geometry as CIF:
```
data_BaAs2Ru
_cell_length_a 5.345
_cell_length_b 5.345
_cell_length_c 3.206
_cell_angle_alpha 90.00
_cell_angle_beta 90.00
_cell_angle_gamma 90.00
_space_group_name_H-M_alt 'P 4/m m m'
_space_group_IT_number 123
_space_group_name_Hall '-P 4 2'
loop_
_atom_site_label
_atom_site_type_symbol
_atom_site_fract_x
_atom_site_fract_y
_atom_site_fract_z
Ba1 Ba 0.000 0.000 0.000
As1 As 0.000 0.500 0.500
Ru1 Ru 0.500 0.500 0.000
```

(3)
Below is a relaxed Sr2ZnInNi crystal, with properties calculated at the PBE level.

## Properties
Total magnetic moment in μB/cell: 0.000
N(E_F) in states/eV per cell: 4.4
Energy of formation from the pure elements in eV per atom: -0.084

Geometry as CIF:
```
data_Sr2ZnInNi
_cell_length_a 5.676
_cell_length_b 5.676
_cell_length_c 4.687
_cell_angle_alpha 90.00
_cell_angle_beta 90.00
_cell_angle_gamma 90.00
_space_group_name_H-M_alt 'P 4/m m m'
_space_group_IT_number 123
_space_group_name_Hall '-P 4 2'
loop_
_atom_site_label
_atom_site_type_symbol
_atom_site_fract_x
_atom_site_fract_y
_atom_site_fract_z
Sr1 Sr 0.000 0.500 0.000
Zn1 Zn 0.000 0.000 0.500
In1 In 0.500 0.500 0.500
Ni1 Ni 0.000 0.000 0.000
```

(4)
Below is a relaxed ScTcPb2 crystal, with properties calculated at the PBE level.

## Properties
Total magnetic moment in μB/cell: 0.000
N(E_F) in states/eV per cell: 4.6
Energy of formation from the pure elements in eV per atom: 0.193

Geometry as CIF:
```
data_ScTcPb2
_cell_length_a 3.570
_cell_length_b 5.375
_cell_length_c 9.256
_cell_angle_alpha 90.00
_cell_angle_beta 90.00
_cell_angle_gamma 90.00
_space_group_name_H-M_alt 'I m m m'
_space_group_IT_number 71
_space_group_name_Hall '-I 2 2'
loop_
_atom_site_label
_atom_site_type_symbol
_atom_site_fract_x
_atom_site_fract_y
_atom_site_fract_z
Sc1 Sc 0.000 0.000 0.000
Tc1 Tc 0.000 0.000 0.500
Pb1 Pb 0.000 0.500 0.235
```

(5)
Below is a relaxed Tb3Dy2 crystal, with properties calculated at the PBE level.

## Properties
Total magnetic moment in μB/cell: 0.001
N(E_F) in states/eV per cell: 35.4
Energy of formation from the pure elements in eV per atom: 0.011

Geometry as CIF:
```
data_Tb3Dy2
_cell_length_a 11.883
_cell_length_b 6.263
_cell_length_c 9.180
_cell_angle_alpha 90.00
_cell_angle_beta 110.31
_cell_angle_gamma 90.00
_space_group_name_H-M_alt 'C 1 2/c 1'
_space_group_IT_number 15
_space_group_name_Hall '-C 2yc'
loop_
_atom_site_label
_atom_site_type_symbol
_atom_site_fract_x
_atom_site_fract_y
_atom_site_fract_z
Tb1 Tb 0.000 0.167 0.250
Tb2 Tb 0.200 0.166 0.650
Dy1 Dy 0.100 0.334 0.950
```

(6)
Below is a relaxed Ac2CdIn6Pd crystal, with properties calculated at the PBE level.

## Properties
Total magnetic moment in μB/cell: 0.000
N(E_F) in states/eV per cell: 25.3
Energy of formation from the pure elements in eV per atom: -0.112

Geometry as CIF:
```
data_Ac2CdIn6Pd
_cell_length_a 10.714
_cell_length_b 10.714
_cell_length_c 10.714
_cell_angle_alpha 90.00
_cell_angle_beta 90.00
_cell_angle_gamma 90.00
_space_group_name_H-M_alt 'F m -3 m'
_space_group_IT_number 225
_space_group_name_Hall '-F 4 2 3'
loop_
_atom_site_label
_atom_site_type_symbol
_atom_site_fract_x
_atom_site_fract_y
_atom_site_fract_z
Ac1 Ac 0.250 0.250 0.250
Cd1 Cd 0.000 0.000 0.000
In1 In 0.000 0.000 0.257
Pd1 Pd 0.000 0.000 0.500
```

(7)
Below is a relaxed SbPb2N crystal, with properties calculated at the PBE level.

## Properties
Total magnetic moment in μB/cell: 6.706
Formation energy (no corrections) in eV per atom: 1.00
N(E_F) in states/eV per cell: 7.2

Geometry as CIF:
```
data_SbPb2N
_cell_length_a 7.378
_cell_length_b 7.378
_cell_length_c 7.378
_cell_angle_alpha 90.00
_cell_angle_beta 90.00
_cell_angle_gamma 90.00
_space_group_name_H-M_alt 'F m -3 m'
_space_group_IT_number 225
_space_group_name_Hall '-F 4 2 3'
loop_
_atom_site_label
_atom_site_type_symbol
_atom_site_fract_x
_atom_site_fract_y
_atom_site_fract_z
Sb1 Sb 0.000 0.000 0.000
Pb1 Pb 0.250 0.250 0.250
N1 N 0.000 0.000 0.500
```

(8)
Below is a relaxed Cs2KRbNa crystal, with properties calculated at the PBE level.

## Properties
Total magnetic moment in μB/cell: 0.000
N(E_F) in states/eV per cell: 4.4
Energy of formation from the pure elements in eV per atom: 0.206

Geometry as CIF:
```
data_Cs2KRbNa
_cell_length_a 8.538
_cell_length_b 8.538
_cell_length_c 7.118
_cell_angle_alpha 90.00
_cell_angle_beta 90.00
_cell_angle_gamma 90.00
_space_group_name_H-M_alt 'P 4/m m m'
_space_group_IT_number 123
_space_group_name_Hall '-P 4 2'
loop_
_atom_site_label
_atom_site_type_symbol
_atom_site_fract_x
_atom_site_fract_y
_atom_site_fract_z
Cs1 Cs 0.000 0.500 0.000
K1 K 0.000 0.000 0.500
Rb1 Rb 0.500 0.500 0.000
Na1 Na 0.500 0.500 0.500
```

(9)
Below is a relaxed MgSnH2 crystal, with properties calculated at the PBE level.

## Properties
Total magnetic moment in μB/cell: 0.000
N(E_F) in states/eV per cell: 3.0
Raw total energy in eV/atom: -2.899

Geometry as CIF:
```
data_MgSnH2
_cell_length_a 5.197
_cell_length_b 5.197
_cell_length_c 8.899
_cell_angle_alpha 90.00
_cell_angle_beta 90.00
_cell_angle_gamma 90.00
_space_group_name_H-M_alt 'I -4 2 d'
_space_group_IT_number 122
_space_group_name_Hall 'I -4 2bw'
loop_
_atom_site_label
_atom_site_type_symbol
_atom_site_fract_x
_atom_site_fract_y
_atom_site_fract_z
Mg1 Mg 0.000 0.000 0.000
Sn1 Sn 0.000 0.000 0.500
H1 H 0.132 0.250 0.125
```

(10)
Below is a relaxed Ba2TlCd3 crystal, with properties calculated at the PBE level.

## Properties
Total magnetic moment in μB/cell: 0.000
N(E_F) in states/eV per cell: 42.0
Energy of formation from the pure elements in eV per atom: -0.331

Geometry as CIF:
```
data_Ba2TlCd3
_cell_length_a 8.347
_cell_length_b 10.561
_cell_length_c 18.455
_cell_angle_alpha 90.00
_cell_angle_beta 90.00
_cell_angle_gamma 90.00
_space_group_name_H-M_alt 'F m m m'
_space_group_IT_number 69
_space_group_name_Hall '-F 2 2'
loop_
_atom_site_label
_atom_site_type_symbol
_atom_site_fract_x
_atom_site_fract_y
_atom_site_fract_z
Ba1 Ba 0.249 0.000 0.000
Ba2 Ba 0.250 0.250 0.250
Tl1 Tl 0.000 0.000 0.334
Cd1 Cd 0.000 0.000 0.165
Cd2 Cd 0.000 0.247 0.083
```

(11)
Below is a relaxed CeCdSn crystal, with properties calculated at the PBE level.

## Properties
Total magnetic moment in μB/cell: 2.140
N(E_F) in states/eV per cell: 14.0
Energy of formation from the pure elements in eV per atom: -0.390

Geometry as CIF:
```
data_CeCdSn
_cell_length_a 4.632
_cell_length_b 4.632
_cell_length_c 7.661
_cell_angle_alpha 90.00
_cell_angle_beta 90.00
_cell_angle_gamma 90.00
_space_group_name_H-M_alt 'P 4/n m m'
_space_group_IT_number 129
loop_
_space_group_symop_operation_xyz
'x,y,z'
'-x,-y,-z'
'-y+1/2,x,z'
'y+1/2,-x,-z'
'-x+1/2,-y+1/2,z'
'x+1/2,y+1/2,-z'
'y,-x+1/2,z'
'-y,x+1/2,-z'
'x+1/2,-y,-z'
'-x+1/2,y,z'
'-y,-x,-z'
'y,x,z'
'-x,y+1/2,-z'
'x,-y+1/2,z'
'y+1/2,x+1/2,-z'
'-y+1/2,-x+1/2,z'
loop_
_atom_site_label
_atom_site_type_symbol
_atom_site_fract_x
_atom_site_fract_y
_atom_site_fract_z
Ce1 Ce 0.250 0.250 0.177
Cd1 Cd 0.250 0.750 0.500
Sn1 Sn 0.250 0.250 0.762
```

(12)
Below is a relaxed VCr3W crystal, with properties calculated at the PBE level.

## Properties
Total magnetic moment in μB/cell: 0.000
N(E_F) in states/eV per cell: 46.4
Energy of formation from the pure elements in eV per atom: 0.207

Geometry as CIF:
```
data_VCr3W
_cell_length_a 11.697
_cell_length_b 9.499
_cell_length_c 4.832
_cell_angle_alpha 90.00
_cell_angle_beta 99.63
_cell_angle_gamma 90.00
_space_group_name_H-M_alt 'C 1 2/c 1'
_space_group_IT_number 15
_space_group_name_Hall '-C 2yc'
loop_
_atom_site_label
_atom_site_type_symbol
_atom_site_fract_x
_atom_site_fract_y
_atom_site_fract_z
V1 V 0.000 0.133 0.250
V2 V 0.000 0.152 0.750
Cr1 Cr 0.147 0.310 0.560
Cr2 Cr 0.188 0.182 0.098
Cr3 Cr 0.210 0.058 0.623
W1 W 0.080 0.405 0.031
```

(13)
Below is a relaxed Ti4Nb2Ir crystal, with properties calculated at the PBE level.

## Properties
Total magnetic moment in μB/cell: 0.001
N(E_F) in states/eV per cell: 22.5
Energy of formation from the pure elements in eV per atom: 0.646

Geometry as CIF:
```
data_Ti4Nb2Ir
_cell_length_a 4.732
_cell_length_b 4.732
_cell_length_c 12.728
_cell_angle_alpha 90.00
_cell_angle_beta 90.00
_cell_angle_gamma 90.00
_space_group_name_H-M_alt 'I 4/m m m'
_space_group_IT_number 139
_space_group_name_Hall '-I 4 2'
loop_
_atom_site_label
_atom_site_type_symbol
_atom_site_fract_x
_atom_site_fract_y
_atom_site_fract_z
Ti1 Ti 0.000 0.000 0.196
Ti2 Ti 0.000 0.500 0.000
Nb1 Nb 0.000 0.000 0.382
Ir1 Ir 0.000 0.000 0.000
```

(14)
Below is a relaxed La2AlW crystal, with properties calculated at the PBE level.

## Properties
Total magnetic moment in μB/cell: 0.000
N(E_F) in states/eV per cell: 16.7
Energy of formation from the pure elements in eV per atom: 0.655

Geometry as CIF:
```
data_La2AlW
_cell_length_a 8.458
_cell_length_b 8.458
_cell_length_c 5.887
_cell_angle_alpha 90.00
_cell_angle_beta 90.00
_cell_angle_gamma 90.00
_space_group_name_H-M_alt 'I -4 2 d'
_space_group_IT_number 122
_space_group_name_Hall 'I -4 2bw'
loop_
_atom_site_label
_atom_site_type_symbol
_atom_site_fract_x
_atom_site_fract_y
_atom_site_fract_z
La1 La 0.202 0.250 0.125
Al1 Al 0.000 0.000 0.500
W1 W 0.000 0.000 0.000
```

(15)
Below is a relaxed TbTmCuPd crystal, with properties calculated at the PBE level.

## Properties
Total magnetic moment in μB/cell: 0.000
N(E_F) in states/eV per cell: 12.0
Energy of formation from the pure elements in eV per atom: -0.582

Geometry as CIF:
```
data_TbTmCuPd
_cell_length_a 6.955
_cell_length_b 6.955
_cell_length_c 6.955
_cell_angle_alpha 90.00
_cell_angle_beta 90.00
_cell_angle_gamma 90.00
_space_group_name_H-M_alt 'F -4 3 m'
_space_group_IT_number 216
_space_group_name_Hall 'F -4 2 3'
loop_
_atom_site_label
_atom_site_type_symbol
_atom_site_fract_x
_atom_site_fract_y
_atom_site_fract_z
Tb1 Tb 0.000 0.000 0.000
Tm1 Tm 0.000 0.000 0.500
Cu1 Cu 0.250 0.250 0.250
Pd1 Pd 0.250 0.250 0.750
```